Record 1
# AlSbPt (SCAN, single point on PBEsol structure)
# Uncorrected formation energy in meV per atom: -345
# Symmetry: No. 44
data_AlSbPt
_cell_length_a 2.916
_cell_length_b 3.296
_cell_length_c 6.265
_cell_angle_alpha 105.25
_cell_angle_beta 103.46
_cell_angle_gamma 90.00
_symmetry_space_group_name_H-M 'P 1'
_symmetry_Int_Tables_number 1
_symmetry_space_group_name_Hall 'P 1'
loop_
_atom_site_label
_atom_site_type_symbol
_atom_site_fract_x
_atom_site_fract_y
_atom_site_fract_z
Pt1 Pt 0.356 0.356 0.713
Sb1 Sb 0.675 0.675 0.351
Al1 Al 0.968 0.968 0.937

***

Record 2
# AlSb3Pt (SCAN, single point on PBEsol structure)
# Uncorrected formation energy in meV per atom: 561
# Symmetry: No. 221
data_AlSb3Pt
_cell_length_a 5.206
_cell_length_b 5.206
_cell_length_c 5.206
_cell_angle_alpha 90.00
_cell_angle_beta 90.00
_cell_angle_gamma 90.00
_symmetry_space_group_name_H-M 'P 1'
_symmetry_Int_Tables_number 1
_symmetry_space_group_name_Hall 'P 1'
loop_
_atom_site_label
_atom_site_type_symbol
_atom_site_fract_x
_atom_site_fract_y
_atom_site_fract_z
Al1 Al 0.500 0.500 0.500
Sb1 Sb 0.000 0.500 0.000
Sb2 Sb 0.500 0.000 0.000
Sb3 Sb 0.000 0.000 0.500
Pt1 Pt 0.000 0.000 0.000

***

Record 3
# ScAl2Pt2 (SCAN, single point on PBEsol structure)
# Formation energy in eV/atom: -1.263
# Symmetry: No. 139
data_ScAl2Pt2
_cell_length_a 3.805
_cell_length_b 3.805
_cell_length_c 6.477
_cell_angle_alpha 107.08
_cell_angle_beta 107.08
_cell_angle_gamma 90.00
_symmetry_space_group_name_H-M 'P 1'
_symmetry_Int_Tables_number 1
_symmetry_space_group_name_Hall 'P 1'
loop_
_atom_site_label
_atom_site_type_symbol
_atom_site_fract_x
_atom_site_fract_y
_atom_site_fract_z
Al1 Al 0.750 0.250 0.500
Al2 Al 0.250 0.750 0.500
Pt1 Pt 0.612 0.612 0.224
Pt2 Pt 0.388 0.388 0.776
Sc1 Sc 0.000 0.000 0.000

***

Record 4
# ScAl2Pt (SCAN, single point on PBEsol structure)
# Formation energy in eV/atom: -0.534
# Symmetry: No. 122
data_ScAl2Pt
_cell_length_a 3.872
_cell_length_b 3.872
_cell_length_c 9.978
_cell_angle_alpha 101.19
_cell_angle_beta 101.19
_cell_angle_gamma 90.00
_symmetry_space_group_name_H-M 'P 1'
_symmetry_Int_Tables_number 1
_symmetry_space_group_name_Hall 'P 1'
loop_
_atom_site_label
_atom_site_type_symbol
_atom_site_fract_x
_atom_site_fract_y
_atom_site_fract_z
Pt1 Pt 0.000 0.000 0.000
Pt2 Pt 0.250 0.750 0.500
Al1 Al 0.364 0.875 0.250
Al2 Al 0.625 0.636 0.750
Al3 Al 0.886 0.375 0.250
Al4 Al 0.125 0.114 0.750
Sc1 Sc 0.750 0.250 0.500
Sc2 Sc 0.500 0.500 0.000